Record 1
# FeSi2Os GGA-PBE optimized geometry
data_FeSi2Os
_chemical_formula_sum 'Fe1 Si2 Os1'
_space_group_name_H-M_alt 'P 1'
_space_group_IT_number 1
_space_group_name_Hall 'P 1'
_cell_length_a 5.546
_cell_length_b 5.546
_cell_length_c 5.546
_cell_angle_alpha 149.73
_cell_angle_beta 142.46
_cell_angle_gamma 48.96
loop_
_atom_site_label
_atom_site_fract_x
_atom_site_fract_y
_atom_site_fract_z
Si1 0.291 0.791 0.500
Si2 0.033 0.033 0.000
Os1 0.706 0.206 0.500
Fe1 0.470 0.470 0.000
# - Formation energy from raw total energies: -0.215 eV per atom
# - Total energy: -31.40 eV for the cell shown


Record 2
# YEr2TeO8 GGA-PBE optimized geometry
data_YEr2TeO8
_chemical_formula_sum 'Y1 Er2 Te1 O8'
_space_group_name_H-M_alt 'P 1'
_space_group_IT_number 1
_space_group_name_Hall 'P 1'
_cell_length_a 5.001
_cell_length_b 5.003
_cell_length_c 6.847
_cell_angle_alpha 90.00
_cell_angle_beta 90.00
_cell_angle_gamma 90.79
loop_
_atom_site_label
_atom_site_fract_x
_atom_site_fract_y
_atom_site_fract_z
Y1 0.000 0.000 0.500
O1 0.816 0.184 0.212
Er1 0.500 0.500 0.248
O2 0.688 0.689 0.500
O3 0.278 0.277 0.000
Te1 0.000 0.000 0.000
O4 0.184 0.816 0.212
O5 0.816 0.184 0.788
Er2 0.500 0.500 0.752
O6 0.312 0.311 0.500
O7 0.184 0.816 0.788
O8 0.722 0.723 0.000
# - Formation energy from raw total energies: -2.531 eV per atom
# - Total energy: -88.77 eV for the cell shown


Record 3
# TaMoAs4 GGA-PBE optimized geometry
data_TaMoAs4
_chemical_formula_sum 'Ta1 Mo1 As4'
_space_group_name_H-M_alt 'P 1'
_space_group_IT_number 1
_space_group_name_Hall 'P 1'
_cell_length_a 5.325
_cell_length_b 5.325
_cell_length_c 5.325
_cell_angle_alpha 60.00
_cell_angle_beta 60.00
_cell_angle_gamma 60.00
loop_
_atom_site_label
_atom_site_fract_x
_atom_site_fract_y
_atom_site_fract_z
Ta1 0.000 0.000 0.000
As1 0.375 0.375 0.375
Mo1 0.750 0.750 0.750
As2 0.875 0.375 0.375
As3 0.375 0.375 0.875
As4 0.375 0.875 0.375
# - Total energy: -36.38 eV for the cell shown
# - DFT formation energy: 4.9 eV/f.u.


Record 4
# Mg2NiW GGA-PBE optimized geometry
data_Mg2NiW
_chemical_formula_sum 'Mg2 Ni1 W1'
_space_group_name_H-M_alt 'P 1'
_space_group_IT_number 1
_space_group_name_Hall 'P 1'
_cell_length_a 5.183
_cell_length_b 5.183
_cell_length_c 2.669
_cell_angle_alpha 90.00
_cell_angle_beta 90.00
_cell_angle_gamma 116.64
loop_
_atom_site_label
_atom_site_fract_x
_atom_site_fract_y
_atom_site_fract_z
W1 0.000 0.500 0.500
Mg1 0.000 0.000 0.000
Mg2 0.500 0.500 0.000
Ni1 0.500 0.000 0.500
# - Total energy: -20.46 eV for the cell shown
# - DFT formation energy: 1.5 eV/f.u.